No. 1
This record from Alexandria via LeMat-Bulk describes a relaxed structure of Sc2In3Pt4. The functional is PBE-GGA.

a b c (Å): 4.7565 4.7565 8.8240
angles (deg): 92.73 92.73 57.51
Last column: nearest neighbours and their distance in Å.
Positions (direct):
Sc1 0.1693 0.1693 0.2135  7 Pt 2.75-3.04
Sc2 0.8307 0.8307 0.7865  7 Pt 2.75-3.04
In1 0.1576 0.1576 0.5849  4 Pt 2.77-2.82, 1 In 2.95
In2 0.5000 0.5000 0.0000  8 Pt 2.84-2.96
In3 0.8424 0.8424 0.4151  4 Pt 2.77-2.82, 1 In 2.95
Pt1 0.1699 0.1699 0.9022  4 Sc 2.75-2.95, 4 In 2.80-2.85
Pt2 0.4831 0.4831 0.6644  4 In 2.77-2.96, 3 Sc 2.86-3.04, 1 Pt 2.93
Pt3 0.5169 0.5169 0.3356  4 In 2.77-2.96, 3 Sc 2.86-3.04, 1 Pt 2.93
Pt4 0.8301 0.8301 0.0978  4 Sc 2.75-2.95, 4 In 2.80-2.85

- VASP energy (eV per cell) = -51.8
- calculated density (g cm⁻³) = 12.00
- formation energy from the elements (meV per atom) = -756


No. 2
This record from Alexandria via LeMat-Bulk describes a relaxed structure of RbCaPb2. The functional is PBE-GGA.

a b c (Å): 4.1343 4.1343 8.6141
angles (deg): 90.00 90.00 90.00
Last column: nearest neighbours and their distance in Å.
Positions (direct):
Rb1 0.0000 0.0000 0.0000  8 Pb 3.93, 4 Rb 4.13, 2 Ca 4.31
Ca1 0.0000 0.0000 0.5000  8 Pb 3.37
Pb1 0.5000 0.5000 0.3047  1 Pb 3.36, 4 Ca 3.37
Pb2 0.5000 0.5000 0.6953  1 Pb 3.36, 4 Ca 3.37

- VASP energy (eV per cell) = -11.6
- calculated density (g cm⁻³) = 6.09
- formation energy from the elements (meV per atom) = -307


No. 3
This record from Alexandria via LeMat-Bulk describes a relaxed structure of CdSnP. The functional is PBE-GGA.

a b c (Å): 9.8740 9.8740 9.8740
angles (deg): 26.50 26.50 26.50
Last column: nearest neighbours and their distance in Å.
Positions (direct):
Cd1 0.1183 0.1183 0.1183  3 P 2.63
Cd2 0.8817 0.8817 0.8817  3 P 2.63
Sn1 0.3147 0.3147 0.3147  1 P 2.55, 3 Sn 2.82
Sn2 0.6853 0.6853 0.6853  1 P 2.55, 3 Sn 2.82
P1 0.2253 0.2253 0.2253  1 Sn 2.55, 3 Cd 2.63
P2 0.7747 0.7747 0.7747  1 Sn 2.55, 3 Cd 2.63

- VASP energy (eV per cell) = -20.8
- calculated density (g cm⁻³) = 5.15
- formation energy from the elements (meV per atom) = -16


No. 4
This record from Alexandria via LeMat-Bulk describes a relaxed structure of Rb3F4. The functional is PBE-GGA.

a b c (Å): 11.2484 11.2484 3.8776
angles (deg): 99.74 99.74 19.85
Last column: nearest neighbours and their distance in Å.
Positions (direct):
Rb1 0.0000 0.0000 0.0000  8 F 2.95
Rb2 0.1791 0.1791 0.1797  5 F 2.76-2.81
Rb3 0.8209 0.8209 0.8203  5 F 2.76-2.81
F1 0.3079 0.3079 0.3077  5 Rb 2.76-2.81
F2 0.4499 0.4499 0.4512  1 F 2.19
F3 0.5501 0.5501 0.5488  1 F 2.19
F4 0.6921 0.6921 0.6923  5 Rb 2.76-2.81

- uncorrected formation energy (meV per atom) = -2268.5
- VASP energy (eV per cell) = -26.3
- calculated density (g cm⁻³) = 3.36


No. 5
This record from Alexandria via LeMat-Bulk describes a relaxed structure of ZnAg2Sn2. The functional is PBE-GGA.

a b c (Å): 7.4289 7.4289 7.4289
angles (deg): 146.78 146.78 47.69
Last column: nearest neighbours and their distance in Å.
Positions (direct):
Zn1 0.0000 0.0000 0.0000  8 Ag 3.29
Ag1 0.4019 0.4019 0.0000  1 Ag 2.67, 4 Sn 2.96
Ag2 0.5981 0.5981 0.0000  1 Ag 2.67, 4 Sn 2.96
Sn1 0.2500 0.7500 0.5000  4 Ag 2.96, 4 Sn 3.00
Sn2 0.7500 0.2500 0.5000  4 Ag 2.96, 4 Sn 3.00

- VASP energy (eV per cell) = -13.5
- calculated density (g cm⁻³) = 7.03
- formation energy from the elements (meV per atom) = 303


No. 6
This record from Alexandria via LeMat-Bulk describes a relaxed structure of LaCr3Pd. The functional is PBE-GGA.

a b c (Å): 4.4260 4.4260 4.4260
angles (deg): 90.00 90.00 90.00
Last column: nearest neighbours and their distance in Å.
Positions (direct):
La1 0.0000 0.0000 0.0000  6 Cr 2.21
Cr1 0.0000 0.0000 0.5000  2 La 2.21
Cr2 0.0000 0.5000 0.0000  2 La 2.21
Cr3 0.5000 0.0000 0.0000  2 La 2.21
Pd1 0.5000 0.5000 0.5000  12 Cr 3.13

- VASP energy (eV per cell) = -29.5
- calculated density (g cm⁻³) = 7.69
- formation energy from the elements (meV per atom) = 1897


No. 7
This record from Alexandria via LeMat-Bulk describes a relaxed structure of Ti2Zn2Co. The functional is PBE-GGA.

a b c (Å): 8.9380 8.9380 8.9380
angles (deg): 161.41 161.41 26.41
Last column: nearest neighbours and their distance in Å.
Positions (direct):
Ti1 0.0900 0.0900 0.0000  4 Co 2.57, 4 Zn 2.81
Ti2 0.9100 0.9100 0.0000  4 Co 2.57, 4 Zn 2.81
Zn1 0.2988 0.2988 0.0000  8 Zn 2.66-2.89, 4 Ti 2.81
Zn2 0.7012 0.7012 0.0000  8 Zn 2.66-2.89, 4 Ti 2.81
Co1 0.5000 0.5000 0.0000  8 Ti 2.57

- VASP energy (eV per cell) = -26.5
- calculated density (g cm⁻³) = 6.53
- formation energy from the elements (meV per atom) = -217


No. 8
This record from Alexandria via LeMat-Bulk describes a relaxed structure of Ac2Sn4Pb. The functional is PBE-GGA.

a b c (Å): 9.2842 9.2842 9.2842
angles (deg): 144.30 144.30 51.38
Last column: nearest neighbours and their distance in Å.
Positions (direct):
Ac1 0.1256 0.1256 0.0000  5 Sn 3.32-3.54
Ac2 0.8744 0.8744 0.0000  5 Sn 3.32-3.54
Sn1 0.0000 0.5000 0.5000  2 Pb 2.85
Sn2 0.3239 0.3239 0.0000  1 Pb 2.95
Sn3 0.5000 0.0000 0.5000  2 Pb 2.85
Sn4 0.6761 0.6761 0.0000  1 Pb 2.95
Pb1 0.5000 0.5000 0.0000  6 Sn 2.85-2.95

- VASP energy (eV per cell) = -27.4
- calculated density (g cm⁻³) = 6.96
- formation energy from the elements (meV per atom) = 73